[1]
Crystalline Sr3Li2Hg2 at its relaxed geometry, computed with GGA-PBE.

Cell lengths 6.5689, 8.5913, 15.7970 Å; angles 90.00, 90.00, 90.00 degrees
Space group Pbcm (No. 57)
One atom of each set of equivalent atoms:
Sr  0.1100  0.1042  0.1057 x8
Sr  0.3645  0.7499  0.2500 x4
Li  0.3946  0.0427  0.5826 x8
Hg  0.1601  0.1046  0.7500 x4
Hg  0.3290  0.7500  0.0000 x4

As for the density of states at the Fermi level: 5.56 states/eV/f.u. Its formation enthalpy at 0 K is -0.3263 eV/atom.


[2]
Crystalline Sr2Li17Hg3 at its relaxed geometry, computed with GGA-PBE.

Cell lengths 10.9364, 10.9364, 15.3576 Å; angles 90.00, 90.00, 120.00 degrees
Space group R-3m (No. 166, hexagonal axes)
One atom of each set of equivalent atoms:
Sr  0.0000  0.0000  0.1636 x6
Li  0.0000  0.0000  0.4056 x6
Li  0.0000  0.2590  0.5000 x18
Li  0.0000  0.5000  0.0000 x9
Li  0.0105  0.5053  0.6750 x18
Hg  0.0000  0.5000  0.5000 x9

As for the density of states at the Fermi level: 12.03 states/eV/f.u. Its formation enthalpy at 0 K is -0.0741 eV/atom.


[3]
Crystalline Sr3Li4Hg2 at its relaxed geometry, computed with GGA-PBE.

Cell lengths 11.9286, 4.9950, 9.4559 Å; angles 90.00, 110.51, 90.00 degrees
Space group C2/m (No. 12)
One atom of each set of equivalent atoms:
Sr  0.0000  0.0000  0.0000 x2
Sr  0.1128  0.5000  0.3687 x4
Li  0.1024  0.0000  0.6556 x4
Li  0.2198  0.5000  0.0546 x4
Hg  0.2144  0.5000  0.7548 x4

As for the density of states at the Fermi level: 6.40 states/eV/f.u. Its formation enthalpy at 0 K is -0.2384 eV/atom.


[4]
Crystalline Sr2Li3Hg4 at its relaxed geometry, computed with GGA-PBE.

Cell lengths 6.5795, 16.7062, 8.3120 Å; angles 90.00, 90.00, 90.00 degrees
Space group Cmce (No. 64)
One atom of each set of equivalent atoms:
Sr  0.0000  0.1158  0.0861 x8
Li  0.0000  0.0000  0.5000 x4
Li  0.2500  0.2166  0.7500 x8
Hg  0.0000  0.1839  0.4719 x8
Hg  0.2500  0.0477  0.7500 x8

As for the density of states at the Fermi level: 4.58 states/eV/f.u. Its formation enthalpy at 0 K is -0.4019 eV/atom.


[5]
Crystalline SrLi2Hg6 at its relaxed geometry, computed with GGA-PBE.

Cell lengths 8.7106, 8.7106, 3.4666 Å; angles 90.00, 90.00, 120.00 degrees
Space group P6/mmm (No. 191)
One atom of each set of equivalent atoms:
Sr  0.0000  0.0000  0.0000 x1
Li  0.3333  0.6667  0.0000 x2
Hg  0.0000  0.3386  0.5000 x6

As for the density of states at the Fermi level: 3.49 states/eV/f.u. Its formation enthalpy at 0 K is -0.2652 eV/atom.


[6]
Crystalline Sr8LiHg2 at its relaxed geometry, computed with GGA-PBE.

Cell lengths 10.3386, 15.2445, 6.5119 Å; angles 90.00, 105.73, 90.00 degrees
Space group Cm (No. 8)
One atom of each set of equivalent atoms:
Sr  0.0000  0.0000  0.0000 x2
Sr  0.0788  0.3694  0.7871 x4
Sr  0.1797  0.1306  0.6048 x4
Sr  0.2598  0.5000  0.3923 x2
Sr  0.3791  0.2400  0.1959 x4
Li  0.3802  0.0000  0.1902 x2
Hg  0.3793  0.3139  0.6962 x4

As for the density of states at the Fermi level: 12.27 states/eV/f.u. Its formation enthalpy at 0 K is -0.1595 eV/atom.


[7]
Crystalline Sr5Li4Hg4 at its relaxed geometry, computed with GGA-PBE.

Cell lengths 12.7809, 12.7809, 4.8459 Å; angles 90.00, 90.00, 90.00 degrees
Space group I4/m (No. 87)
One atom of each set of equivalent atoms:
Sr  0.0000  0.0000  0.0000 x2
Sr  0.1325  0.7925  0.5000 x8
Li  0.0653  0.4011  0.5000 x8
Hg  0.0496  0.2652  0.0000 x8

As for the density of states at the Fermi level: 7.49 states/eV/f.u. Its formation enthalpy at 0 K is -0.3524 eV/atom.


[8]
Crystalline Sr5Li2Hg at its relaxed geometry, computed with GGA-PBE.

Cell lengths 7.7110, 14.4040, 5.8083 Å; angles 90.00, 90.00, 90.00 degrees
Space group Pbam (No. 55)
One atom of each set of equivalent atoms:
Sr  0.0000  0.0000  0.0000 x2
Sr  0.1321  0.2833  0.0000 x4
Sr  0.1665  0.5997  0.5000 x4
Li  0.1343  0.8594  0.5000 x4
Hg  0.0000  0.5000  0.0000 x2

As for the density of states at the Fermi level: 8.06 states/eV/f.u. Its formation enthalpy at 0 K is -0.1055 eV/atom.


formation enthalpy at 0 K of number 7 (Sr5Li4Hg4)?
-0.3524 eV/atom


formation enthalpy at 0 K of number 1 (Sr3Li2Hg2)?
-0.3263 eV/atom